A relaxed V2AgPtO6 crystal, computed with GGA+U.

## Properties
**Fermi-level density of states**: 1.3 states/eV/f.u.
**E**: -6.567 eV per atom
**SG**: No. 15

Cell: 7.5038 7.5038 5.8423 Å, 105.89 105.89 74.71°
Closest atoms and distances in Å follow each position.
Fractional coordinates of all 20 atoms:
V: 0.0963 0.3293 0.2109  4 O 1.75-1.83
V: 0.3293 0.0963 0.7109  4 O 1.75-1.83
V: 0.6707 0.9037 0.2891  4 O 1.75-1.83
V: 0.9037 0.6707 0.7891  4 O 1.75-1.83
Ag: 0.4317 0.5683 0.7500  2 O 2.33
Ag: 0.5683 0.4317 0.2500  2 O 2.33
Pt: 0.2709 0.7291 0.2500  4 O 2.00-2.02
Pt: 0.7291 0.2709 0.7500  4 O 2.00-2.02
O: 0.1296 0.5622 0.3148  1 V 1.75
O: 0.1528 0.6594 0.8921  1 V 1.79
O: 0.1994 0.2113 0.4664  2 V 1.79-1.83
O: 0.2113 0.1994 0.9664  2 V 1.79-1.83
O: 0.3406 0.8472 0.6079  1 V 1.79
O: 0.4378 0.8704 0.1852  1 V 1.75
O: 0.5622 0.1296 0.8148  1 V 1.75
O: 0.6594 0.1528 0.3921  1 V 1.79
O: 0.7887 0.8006 0.0336  2 V 1.79-1.83
O: 0.8006 0.7887 0.5336  2 V 1.79-1.83
O: 0.8472 0.3406 0.1079  1 V 1.79
O: 0.8704 0.4378 0.6852  1 V 1.75